VASP calculation (PBE) on a relaxed PuAgHg6 crystal.

Output
* DFT formation energy: -0.01 eV/atom
* SG: No. 38

abc: 5.0552 6.6071 6.6071
angles: 64.88 90.00 90.00
Closest atoms and distances in Å follow each position.
Positions (direct):
Pu1 0.0000 0.0000 0.0000  12 Hg 3.22-3.54, 2 Ag 3.58
Ag1 0.5000 0.2276 0.2276  6 Hg 2.96-3.05
Hg1 0.0000 0.0160 0.4911  2 Ag 3.05, 5 Hg 3.19-3.40, 2 Pu 3.29-3.32
Hg2 0.0000 0.4911 0.0160  2 Ag 3.05, 5 Hg 3.19-3.40, 2 Pu 3.29-3.32
Hg3 0.0000 0.4985 0.4985  6 Hg 3.00-3.21
Hg4 0.5000 0.3073 0.7523  1 Ag 2.96, 4 Hg 3.00-3.20, 2 Pu 3.22
Hg5 0.5000 0.7523 0.3073  1 Ag 2.96, 4 Hg 3.00-3.20, 2 Pu 3.22
Hg6 0.5000 0.8039 0.8039  8 Hg 3.19-3.44, 2 Pu 3.34

***

VASP calculation (PBE) on a relaxed KNbCd crystal.

Output
* DFT formation energy: 0.56 eV/atom
* distance to the lowest polymorph of the same formula: 0.951 eV/f.u.
* SG: No. 2

abc: 4.7845 5.9258 6.8994
angles: 79.33 86.15 85.34
Closest atoms and distances in Å follow each position.
Positions (direct):
K1 0.2372 0.2485 0.4327  4 Cd 3.51-3.73, 3 K 3.74-3.81, 1 Nb 3.93
K2 0.7628 0.7515 0.5673  4 Cd 3.51-3.73, 3 K 3.74-3.81, 1 Nb 3.93
Nb1 0.2098 0.9099 0.9958  1 Nb 2.20
Nb2 0.7902 0.0901 0.0042  1 Nb 2.20
Cd1 0.2668 0.4086 0.9155  4 Nb 2.94-3.11, 2 Cd 2.94-2.95
Cd2 0.7332 0.5914 0.0845  4 Nb 2.94-3.11, 2 Cd 2.94-2.95